An optimized crystal structure of YInCo2, computed with GGA-PBE.

Structure (POSCAR):
```
YInCo2
1.0
4.430 0.000 0.000
0.000 4.430 0.000
0.000 0.000 3.404
Y In Co
1 1 2
Direct
0.000 0.000 0.000
0.500 0.500 0.000
0.000 0.500 0.500
0.500 0.000 0.500
```

Calculated values
uncorrected energy	-5.90	eV per atom